Record 1
4
Lattice="3.394 0.000 0.000 0.000 3.394 0.000 0.000 0.000 8.954" Properties=species:S:1:pos:R:3 comment="AlTlIn2 PBE optimized geometry" formation_enthalpy_0k_ev_per_atom=0.093 pbc="T T T"
Al 0.000 0.000 0.000
Tl 0.000 0.000 4.477
In 1.697 1.697 1.881
In 1.697 1.697 7.073

Record 2
16
Lattice="3.433 -4.665 0.000 3.433 4.665 0.000 -3.310 0.000 6.798" Properties=species:S:1:pos:R:3 comment="CaZnTeO5 PBE optimized geometry" raw_formation_energy_ev_per_atom=-1.712 pbc="T T T"
Ca 0.950 3.060 5.098
Ca 2.606 -3.060 1.699
Zn 2.606 2.873 1.699
Zn 0.950 -2.873 5.098
Te 3.433 0.000 0.000
Te 1.778 0.000 3.399
O -1.648 0.391 6.188
O 1.413 1.839 2.837
O 0.007 -0.391 2.789
O 3.798 1.839 0.562
O 0.950 0.647 5.098
O 2.606 -0.647 1.699
O -0.242 -1.839 6.236
O 3.549 0.391 4.009
O 2.143 -1.839 3.961
O 5.204 -0.391 0.610

Number 1: theoretical density 7.424 g/cm³, density of states at the Fermi level 1.801 states/eV/cell. Number 2: theoretical density 4.775 g/cm³, density of states at the Fermi level 0.000 states/eV/cell.